No. 1
Ce3Tl2Co | PBE | relaxed

a b c (Å): 4.685 7.591 9.927
angles (deg): 81.63 61.86 72.03
Atoms (fractional coordinates):
Ce 0.383 0.618 0.808
Ce 0.265 0.000 0.235
Ce 0.617 0.382 0.192
Ce 0.998 0.618 0.192
Ce 0.002 0.382 0.808
Ce 0.735 0.000 0.765
Tl 0.000 0.000 0.000
Tl 0.500 0.000 0.500
Tl 0.168 0.664 0.500
Tl 0.832 0.336 0.500
Co 0.643 0.713 0.000
Co 0.357 0.287 0.000

Properties
For the formation enthalpy at 0 K, the calculation gives -187 meV per atom. As for the crystal system: orthorhombic.



No. 2
Li3Zr2PdSe6 | PBE | relaxed

a b c (Å): 6.669 6.669 6.808
angles (deg): 99.51 99.51 119.93
Atoms (fractional coordinates):
Li 0.164 0.836 0.500
Li 0.836 0.164 0.500
Li 0.500 0.500 0.500
Zr 0.332 0.668 0.000
Zr 0.668 0.332 0.000
Pd 0.000 0.000 0.000
Se 0.917 0.578 0.753
Se 0.743 0.743 0.247
Se 0.083 0.422 0.247
Se 0.578 0.917 0.753
Se 0.257 0.257 0.753
Se 0.422 0.083 0.247

Properties
The raw formation energy is -1.096 eV/atom. As for the crystal system: monoclinic.



No. 3
Cs2PaMnS4 | PBE | relaxed

a b c (Å): 6.440 8.032 13.429
angles (deg): 84.48 76.13 66.37
Atoms (fractional coordinates):
Cs 0.179 0.000 0.642
Cs 0.821 0.000 0.358
Cs 0.571 0.500 0.858
Cs 0.929 0.500 0.142
Pa 0.750 0.500 0.500
Pa 0.000 0.000 0.000
Mn 0.250 0.500 0.500
Mn 0.500 0.000 0.000
S 0.316 0.810 0.098
S 0.223 0.190 0.902
S 0.875 0.810 0.902
S 0.586 0.190 0.098
S 0.434 0.690 0.402
S 0.527 0.310 0.598
S 0.875 0.690 0.598
S 0.164 0.310 0.402

Properties
The raw formation energy is -1.112 eV/atom. As for the crystal system: orthorhombic.